DFT (GGA+U) results for a relaxed structure of V3BiF.

a = 5.4750 Å, b = 5.4750 Å, c = 5.4750 Å
α = 90.00°, β = 90.00°, γ = 90.00°
Last column: nearest neighbours and their distance in Å.
Atoms (fractional coordinates):
V  0.0000  0.5000  0.0000  2 Bi 2.74
V  0.0000  0.0000  0.5000  2 Bi 2.74
V  0.5000  0.0000  0.0000  2 Bi 2.74
Bi  0.0000  0.0000  0.0000  6 V 2.74
F  0.5000  0.5000  0.5000  12 V 3.87

Calculated values
* mass density: 3.85 g/cm3
* total moment: 11.00 μB/f.u.
* space group: Pm-3m
* final energy: -4.346 eV per atom
* V: 164.1 Å³/cell
* energy above the lowest structure with this stoichiometry: 419 meV/atom